1.
TbNd2In2 (PBE-GGA, optimized geometry); M_tot = 0.000 μB per atom; theoretical density = 7.59 Mg/m³; energy of formation from the pure elements = -0.379 eV/atom; final energy = -4.307 eV/atom; excess energy over the best structure of this formula in the dataset = 0.004 eV per atom; SG = P2_1/m (11)
1.0
3.825 0.000 0.000
0.000 5.436 0.000
-1.919 0.000 14.255
Tb Nd In
2 4 4
Direct
0.147 0.250 0.295
0.853 0.750 0.705
0.047 0.750 0.094
0.237 0.750 0.473
0.763 0.250 0.527
0.953 0.250 0.906
0.358 0.250 0.714
0.448 0.750 0.895
0.552 0.250 0.105
0.642 0.750 0.286

---

2.
Pm5ZnSn4 (PBE-GGA, optimized geometry); M_tot = 0.000 μB per atom; theoretical density = 7.69 Mg/m³; energy of formation from the pure elements = -0.598 eV/atom; final energy = -4.702 eV/atom; SG = P4/mmm (123)
1.0
3.525 0.000 0.000
0.000 3.525 0.000
0.000 0.000 21.995
Pm Zn Sn
5 1 4
Direct
0.000 0.000 0.000
0.000 0.000 0.207
0.000 0.000 0.410
0.000 0.000 0.590
0.000 0.000 0.793
0.500 0.500 0.500
0.500 0.500 0.103
0.500 0.500 0.308
0.500 0.500 0.692
0.500 0.500 0.897

---

3.
AcNdLuTh (PBE-GGA, optimized geometry); M_tot = 0.001 μB per atom; theoretical density = 9.20 Mg/m³; energy of formation from the pure elements = 0.167 eV/atom; final energy = -5.037 eV/atom; SG = F-43m (216)
1.0
0.000 4.126 4.126
4.126 0.000 4.126
4.126 4.126 0.000
Ac Nd Lu Th
1 1 1 1
Direct
0.000 0.000 0.000
0.750 0.750 0.750
0.250 0.250 0.250
0.500 0.500 0.500

---

> What is the formula in the third record?

AcNdLuTh